[1]
Computed, not measured: a relaxed structure of KCoAgTe2S at the PBE level of DFT.

Calculated values
Its crystal system is orthorhombic. The uncorrected energy is -22.35 eV/f.u. Its size of the total moment is 4.0 Bohr magnetons per cell.

Cell and atoms, written as CIF:
```
data_KCoAgTe2S
_symmetry_space_group_name_H-M 'C m c m'
_symmetry_Int_Tables_number 63
_symmetry_space_group_name_Hall '-C 2c 2'
_cell_length_a 3.854
_cell_length_b 15.240
_cell_length_c 10.493
_cell_angle_alpha 90.00
_cell_angle_beta 90.00
_cell_angle_gamma 90.00
loop_
_atom_site_label
_atom_site_type_symbol
_atom_site_fract_x
_atom_site_fract_y
_atom_site_fract_z
K1 K 0.000 0.249 0.250
Co1 Co 0.000 0.000 0.000
Ag1 Ag 0.000 0.458 0.750
Te1 Te 0.000 0.386 0.514
S1 S 0.000 0.065 0.750
```

[2]
Computed, not measured: a relaxed structure of KCoAgSe3 at the PBE level of DFT.

Calculated values
Its crystal system is orthorhombic. The uncorrected energy is -23.14 eV/f.u. Its size of the total moment is 2.2 Bohr magnetons per cell.

Cell and atoms, written as CIF:
```
data_KCoAgSe3
_symmetry_space_group_name_H-M 'C m c m'
_symmetry_Int_Tables_number 63
_symmetry_space_group_name_Hall '-C 2c 2'
_cell_length_a 3.620
_cell_length_b 15.272
_cell_length_c 10.155
_cell_angle_alpha 90.00
_cell_angle_beta 90.00
_cell_angle_gamma 90.00
loop_
_atom_site_label
_atom_site_type_symbol
_atom_site_fract_x
_atom_site_fract_y
_atom_site_fract_z
K1 K 0.000 0.250 0.250
Co1 Co 0.000 0.000 0.000
Ag1 Ag 0.000 0.437 0.750
Se1 Se 0.000 0.063 0.750
Se2 Se 0.000 0.393 0.510
```

[3]
Computed, not measured: a relaxed structure of KCoAgTe2Se at the PBE level of DFT.

Calculated values
Its crystal system is orthorhombic. The uncorrected energy is -21.98 eV/f.u. Its size of the total moment is 3.1 Bohr magnetons per cell.

Cell and atoms, written as CIF:
```
data_KCoAgTe2Se
_symmetry_space_group_name_H-M 'C m c m'
_symmetry_Int_Tables_number 63
_symmetry_space_group_name_Hall '-C 2c 2'
_cell_length_a 3.851
_cell_length_b 15.693
_cell_length_c 10.498
_cell_angle_alpha 90.00
_cell_angle_beta 90.00
_cell_angle_gamma 90.00
loop_
_atom_site_label
_atom_site_type_symbol
_atom_site_fract_x
_atom_site_fract_y
_atom_site_fract_z
K1 K 0.000 0.242 0.250
Co1 Co 0.000 0.000 0.000
Ag1 Ag 0.000 0.450 0.750
Te1 Te 0.000 0.389 0.510
Se1 Se 0.000 0.065 0.750
```